Density functional theory data (PBE) for crystalline Ac6Pr2Nd5 at its relaxed geometry.

Unit cell a=11.5456 b=24.0057 c=3.7997 alpha=90.00 beta=90.00 gamma=90.00
Atoms (fractional coordinates):
Ac: 0.0215 0.1108 0.0000
Ac: 0.1446 0.3851 0.0000
Ac: 0.1657 0.6324 0.5000
Ac: 0.3343 0.1324 0.5000
Ac: 0.3554 0.8851 0.0000
Ac: 0.4785 0.6108 0.0000
Ac: 0.5215 0.3892 0.0000
Ac: 0.6446 0.1149 0.0000
Ac: 0.6657 0.8676 0.5000
Ac: 0.8343 0.3676 0.5000
Ac: 0.8554 0.6149 0.0000
Ac: 0.9785 0.8892 0.0000
Pr: 0.1634 0.7691 0.0000
Pr: 0.3366 0.2691 0.0000
Pr: 0.6634 0.7309 0.0000
Pr: 0.8366 0.2309 0.0000
Nd: 0.0000 0.5000 0.5000
Nd: 0.0870 0.2483 0.5000
Nd: 0.1674 0.9958 0.5000
Nd: 0.3326 0.4958 0.5000
Nd: 0.4130 0.7483 0.5000
Nd: 0.5000 0.0000 0.5000
Nd: 0.5870 0.2517 0.5000
Nd: 0.6674 0.5042 0.5000
Nd: 0.8326 0.0042 0.5000
Nd: 0.9130 0.7517 0.5000

formation energy from the elements	0.136	eV per atom
space group	Pbam